VASP calculation (GGA-PBE) on crystalline SrCrTeI2 at its relaxed geometry.

Summary:
**Formation energy (no corrections)**: -0.022 eV/atom
**Calculated volume**: 50.7 Å³ per atom
**SG**: No. 123

a = 6.2535 Å, b = 6.2535 Å, c = 6.4807 Å
α = 90.00°, β = 90.00°, γ = 90.00°
Positions (direct):
Sr1 0.0000 0.0000 0.0000
Cr1 0.5000 0.5000 0.5000
Te1 0.0000 0.0000 0.5000
I1 0.0000 0.5000 0.0000
I2 0.5000 0.0000 0.0000

---

VASP calculation (GGA-PBE) on crystalline Er2Cd at its relaxed geometry.

Summary:
**Total energy**: -3.35 eV/atom
**Calculated volume**: 28.4 Å³ per atom
**SG**: No. 141

a = 14.7740 Å, b = 14.7740 Å, c = 14.7740 Å
α = 166.72°, β = 166.72°, γ = 18.82°
Positions (direct):
Er1 0.3022 0.5522 0.7500
Er2 0.4478 0.6978 0.7500
Er3 0.5522 0.3022 0.2500
Er4 0.6978 0.4478 0.2500
Cd1 0.1250 0.8750 0.2500
Cd2 0.8750 0.1250 0.7500

---

VASP calculation (GGA-PBE) on crystalline CuTeIr at its relaxed geometry.

Summary:
**Formation energy (no corrections)**: 0.634 eV/atom
**Calculated volume**: 17.9 Å³ per atom
**SG**: No. 42

a = 7.2396 Å, b = 6.9301 Å, c = 3.0130 Å
α = 83.55°, β = 72.02°, γ = 24.43°
Positions (direct):
Cu1 0.0000 0.0000 0.0000
Te1 0.6815 0.6815 0.3185
Ir1 0.3499 0.3499 0.6501

---

VASP calculation (GGA-PBE) on crystalline As2RhCBr at its relaxed geometry.

Summary:
**Formation energy (no corrections)**: 1.655 eV/atom
**Calculated volume**: 23.7 Å³ per atom
**SG**: No. 123

a = 4.7289 Å, b = 4.7289 Å, c = 5.3024 Å
α = 90.00°, β = 90.00°, γ = 90.00°
Positions (direct):
As1 0.0000 0.5000 0.0000
As2 0.5000 0.0000 0.0000
Rh1 0.0000 0.0000 0.0000
C1 0.5000 0.5000 0.5000
Br1 0.0000 0.0000 0.5000

---

VASP calculation (GGA-PBE) on crystalline PuNiH8Ir2 at its relaxed geometry.

Summary:
**Total energy**: -5.46 eV/atom
**Calculated volume**: 8.5 Å³ per atom
**SG**: No. 148

a = 6.1667 Å, b = 6.1667 Å, c = 6.1667 Å
α = 43.81°, β = 43.81°, γ = 43.81°
Positions (direct):
Pu1 0.0000 0.0000 0.0000
Ni1 0.5000 0.5000 0.5000
H1 0.1524 0.7359 0.4280
H2 0.2641 0.5720 0.8476
H3 0.3131 0.3131 0.3131
H4 0.4280 0.1524 0.7359
H5 0.5720 0.8476 0.2641
H6 0.6869 0.6869 0.6869
H7 0.7359 0.4280 0.1524
H8 0.8476 0.2641 0.5720
Ir1 0.2148 0.2148 0.2148
Ir2 0.7852 0.7852 0.7852

---

VASP calculation (GGA-PBE) on crystalline SmMgRh2 at its relaxed geometry.

Summary:
**Total energy**: -5.87 eV/atom
**Calculated volume**: 18.4 Å³ per atom
**SG**: No. 225

a = 4.7025 Å, b = 4.7025 Å, c = 4.7025 Å
α = 60.00°, β = 60.00°, γ = 60.00°
Positions (direct):
Sm1 0.0000 0.0000 0.0000
Mg1 0.5000 0.5000 0.5000
Rh1 0.2500 0.2500 0.2500
Rh2 0.7500 0.7500 0.7500

---

VASP calculation (GGA-PBE) on crystalline SnAsSe2I at its relaxed geometry.

Summary:
**Formation energy (no corrections)**: 0.562 eV/atom
**Calculated volume**: 30.7 Å³ per atom
**SG**: No. 123

a = 5.1901 Å, b = 5.1901 Å, c = 5.6988 Å
α = 90.00°, β = 90.00°, γ = 90.00°
Positions (direct):
Sn1 0.0000 0.0000 0.0000
As1 0.0000 0.0000 0.5000
Se1 0.0000 0.5000 0.0000
Se2 0.5000 0.0000 0.0000
I1 0.5000 0.5000 0.5000

---

VASP calculation (GGA-PBE) on crystalline YSiS3 at its relaxed geometry.

Summary:
**Formation energy (no corrections)**: -0.813 eV/atom
**Calculated volume**: 19.1 Å³ per atom
**SG**: No. 221

a = 4.5688 Å, b = 4.5688 Å, c = 4.5688 Å
α = 90.00°, β = 90.00°, γ = 90.00°
Positions (direct):
Y1 0.0000 0.0000 0.0000
Si1 0.5000 0.5000 0.5000
S1 0.0000 0.5000 0.5000
S2 0.5000 0.0000 0.5000
S3 0.5000 0.5000 0.0000